1.
# RbCo GGA-PBE relaxed
# uncorrected energy = -2.2396 eV/atom
data_RbCo
_chemical_formula_sum 'Rb4 Co4'
_cell_length_a 7.8872
_cell_length_b 7.8872
_cell_length_c 7.8872
_cell_angle_alpha 90.00
_cell_angle_beta 90.00
_cell_angle_gamma 90.00
_space_group_name_H-M_alt 'F -4 3 m'
_space_group_IT_number 216
_space_group_name_Hall 'F -4 2 3'
loop_
_atom_site_label
_atom_site_type_symbol
_atom_site_fract_x
_atom_site_fract_y
_atom_site_fract_z
_atom_site_occupancy
Rb1 Rb 0.0000 0.0000 0.0000 1
Co1 Co 0.2500 0.2500 0.2500 1



2.
# GaHgTe GGA-PBE relaxed
# uncorrected energy = -2.1059 eV/atom
data_GaHgTe
_chemical_formula_sum 'Ga4 Hg4 Te4'
_cell_length_a 7.2822
_cell_length_b 7.2822
_cell_length_c 7.2822
_cell_angle_alpha 90.00
_cell_angle_beta 90.00
_cell_angle_gamma 90.00
_space_group_name_H-M_alt 'F -4 3 m'
_space_group_IT_number 216
_space_group_name_Hall 'F -4 2 3'
loop_
_atom_site_label
_atom_site_type_symbol
_atom_site_fract_x
_atom_site_fract_y
_atom_site_fract_z
_atom_site_occupancy
Ga1 Ga 0.0000 0.0000 0.0000 1
Hg1 Hg 0.0000 0.0000 0.5000 1
Te1 Te 0.2500 0.2500 0.7500 1



3.
# LiZrIrPb GGA-PBE relaxed
# uncorrected energy = -6.2532 eV/atom
data_LiZrIrPb
_chemical_formula_sum 'Li4 Zr4 Ir4 Pb4'
_cell_length_a 6.5787
_cell_length_b 6.5787
_cell_length_c 6.5787
_cell_angle_alpha 90.00
_cell_angle_beta 90.00
_cell_angle_gamma 90.00
_space_group_name_H-M_alt 'F -4 3 m'
_space_group_IT_number 216
_space_group_name_Hall 'F -4 2 3'
loop_
_atom_site_label
_atom_site_type_symbol
_atom_site_fract_x
_atom_site_fract_y
_atom_site_fract_z
_atom_site_occupancy
Li1 Li 0.0000 0.0000 0.0000 1
Zr1 Zr 0.2500 0.2500 0.7500 1
Ir1 Ir 0.0000 0.0000 0.5000 1
Pb1 Pb 0.2500 0.2500 0.2500 1



4.
# Sr3PrN3 GGA-PBE relaxed
# uncorrected energy = -5.5245 eV/atom
data_Sr3PrN3
_chemical_formula_sum 'Sr12 Pr4 N12'
_cell_length_a 10.2449
_cell_length_b 10.9989
_cell_length_c 5.4064
_cell_angle_alpha 90.00
_cell_angle_beta 90.00
_cell_angle_gamma 90.00
_space_group_name_H-M_alt 'C m c m'
_space_group_IT_number 63
_space_group_name_Hall '-C 2c 2'
loop_
_atom_site_label
_atom_site_type_symbol
_atom_site_fract_x
_atom_site_fract_y
_atom_site_fract_z
_atom_site_occupancy
Sr1 Sr 0.0000 0.1041 0.2500 1
Sr2 Sr 0.2494 0.1232 0.7500 1
Pr1 Pr 0.0000 0.3450 0.7500 1
N1 N 0.0000 0.1352 0.7500 1
N2 N 0.2286 0.3776 0.7500 1



5.
# NaPrSeO GGA-PBE relaxed
# uncorrected energy = -5.7777 eV/atom
data_NaPrSeO
_chemical_formula_sum 'Na4 Pr4 Se4 O4'
_cell_length_a 6.8587
_cell_length_b 7.7163
_cell_length_c 6.6985
_cell_angle_alpha 90.00
_cell_angle_beta 101.18
_cell_angle_gamma 90.00
_space_group_name_H-M_alt 'P 1 21/c 1'
_space_group_IT_number 14
_space_group_name_Hall '-P 2ybc'
loop_
_atom_site_label
_atom_site_type_symbol
_atom_site_fract_x
_atom_site_fract_y
_atom_site_fract_z
_atom_site_occupancy
Na1 Na 0.1005 0.2326 0.4931 1
Pr1 Pr 0.4377 0.6199 0.7655 1
Se1 Se 0.1890 0.5694 0.3248 1
O1 O 0.4049 0.1615 0.3978 1



6.
# Cu5Ag4 GGA-PBE relaxed
# ΔH_f (0 K) = 0.0913 eV/atom
# uncorrected energy = -3.2289 eV/atom
data_Cu5Ag4
_chemical_formula_sum 'Cu10 Ag8'
_cell_length_a 2.8221
_cell_length_b 3.5618
_cell_length_c 26.1650
_cell_angle_alpha 90.00
_cell_angle_beta 90.00
_cell_angle_gamma 90.00
_space_group_name_H-M_alt 'I m m 2'
_space_group_IT_number 44
_space_group_name_Hall 'I 2 -2'
loop_
_atom_site_label
_atom_site_type_symbol
_atom_site_fract_x
_atom_site_fract_y
_atom_site_fract_z
_atom_site_occupancy
Cu1 Cu 0.0000 0.0000 0.0000 1
Cu2 Cu 0.0000 0.0000 0.1124 1
Cu3 Cu 0.0000 0.0000 0.3191 1
Cu4 Cu 0.0000 0.0000 0.6592 1
Cu5 Cu 0.0000 0.0000 0.7724 1
Ag1 Ag 0.0000 0.0000 0.2157 1
Ag2 Ag 0.0000 0.0000 0.4435 1
Ag3 Ag 0.0000 0.0000 0.5559 1
Ag4 Ag 0.0000 0.0000 0.8762 1



Listing relative energy among the computed polymorphs for the structures above in their given order: 0.62, 0.00, 0.00, 0.00, 0.17, 0.46 eV per formula unit.
Listing V for the structures above in their given order: 122.66, 96.55, 71.18, 152.30, 86.95, 131.50 Å³/f.u..